A plane-wave DFT calculation with GGA-PBE was carried out for a relaxed structure of Pm2Nd2Pb.

Cell lengths 4.4799, 4.4799, 17.5969 Å; angles 90.00, 90.00, 90.00 degrees
Closest atoms and distances in Å follow each position.
Space group I4/mmm (No. 139)
Asymmetric unit:
Pm (0.0000, 0.0000, 0.0852) (multiplicity 4)  1 Pm 3.00
Nd (0.0000, 0.5000, 0.2500) (multiplicity 4)  4 Nd 3.17
Pb (0.0000, 0.0000, 0.5000) (multiplicity 2)  8 Pm 3.50

Summary:
Its total DFT energy (no corrections) is -4.347 eV per atom.

=====

A plane-wave DFT calculation with GGA-PBE was carried out for a relaxed structure of Pm6Nd12Pb.

Cell lengths 13.3677, 13.3677, 13.0210 Å; angles 90.00, 90.00, 120.00 degrees
Closest atoms and distances in Å follow each position.
Space group R-3 (No. 148, hexagonal axes)
Asymmetric unit:
Pm (0.0902, 0.9092, 0.2744) (multiplicity 18)  4 Nd 3.44-3.53, 1 Pb 3.61, 3 Pm 3.63-3.85
Nd (0.9996, 0.2590, 0.4999) (multiplicity 18)  4 Pm 3.44-3.53, 6 Nd 3.47-3.73, 1 Pb 3.47
Nd (0.0612, 0.5306, 0.6108) (multiplicity 18)  5 Nd 3.22-3.60
Pb (0.0000, 0.0000, 0.5000) (multiplicity 3)  6 Nd 3.47, 6 Pm 3.61

Summary:
The relative energy among the computed polymorphs is 18 meV per atom. Its total DFT energy (no corrections) is -4.644 eV per atom.

=====

A plane-wave DFT calculation with GGA-PBE was carried out for a relaxed structure of PmNd4Pb5.

Cell lengths 3.6018, 3.6018, 23.1585 Å; angles 90.00, 90.00, 90.00 degrees
Closest atoms and distances in Å follow each position.
Space group P4/mmm (No. 123)
Asymmetric unit:
Pm (0.0000, 0.0000, 0.0000) (multiplicity 1)  8 Pb 3.43, 4 Pm 3.60
Nd (0.0000, 0.0000, 0.1994) (multiplicity 2)  8 Pb 3.45, 4 Nd 3.60
Nd (0.0000, 0.0000, 0.3998) (multiplicity 2)  8 Pb 3.45, 4 Nd 3.60
Pb (0.5000, 0.5000, 0.0991) (multiplicity 2)  4 Pm 3.43, 4 Nd 3.45, 4 Pb 3.60
Pb (0.5000, 0.5000, 0.2996) (multiplicity 2)  8 Nd 3.45, 4 Pb 3.60
Pb (0.5000, 0.5000, 0.5000) (multiplicity 1)  8 Nd 3.45, 4 Pb 3.60

Summary:
The relative energy among the computed polymorphs is 0 meV per atom. Its total DFT energy (no corrections) is -4.750 eV per atom.

=====

A plane-wave DFT calculation with GGA-PBE was carried out for a relaxed structure of PmNd2Pb.

Cell lengths 7.9569, 7.9569, 7.9569 Å; angles 90.00, 90.00, 90.00 degrees
Closest atoms and distances in Å follow each position.
Space group Fm-3m (No. 225)
Asymmetric unit:
Pm (0.0000, 0.0000, 0.0000) (multiplicity 4)  8 Nd 3.45
Nd (0.2500, 0.2500, 0.2500) (multiplicity 8)  4 Pb 3.45, 4 Pm 3.45
Pb (0.0000, 0.0000, 0.5000) (multiplicity 4)  8 Nd 3.45

Summary:
The relative energy among the computed polymorphs is 189 meV per atom. Its total DFT energy (no corrections) is -4.646 eV per atom.

=====

A plane-wave DFT calculation with GGA-PBE was carried out for a relaxed structure of Pm2NdPb.

Cell lengths 3.6774, 3.6774, 33.9869 Å; angles 90.00, 90.00, 120.00 degrees
Closest atoms and distances in Å follow each position.
Space group R3m (No. 160, hexagonal axes)
Asymmetric unit:
Pm (0.0000, 0.0000, 0.0000) (multiplicity 3)  3 Pb 3.41, 3 Nd 3.66, 6 Pm 3.68
Pm (0.0000, 0.0000, 0.1754) (multiplicity 3)  3 Pb 3.43, 3 Nd 3.66, 6 Pm 3.68
Nd (0.0000, 0.0000, 0.7544) (multiplicity 3)  6 Pm 3.66, 6 Nd 3.68
Pb (0.0000, 0.0000, 0.5881) (multiplicity 3)  6 Pm 3.41-3.43, 6 Pb 3.68

Summary:
The relative energy among the computed polymorphs is 181 meV per atom. Its total DFT energy (no corrections) is -4.648 eV per atom.

=====

A plane-wave DFT calculation with GGA-PBE was carried out for a relaxed structure of PmNd5Pb4.

Cell lengths 16.8197, 5.5532, 7.3727 Å; angles 90.00, 90.14, 90.00 degrees
Closest atoms and distances in Å follow each position.
Space group C2/m (No. 12)
Asymmetric unit:
Pm (0.0000, 0.0000, 0.0000) (multiplicity 2)  6 Pb 3.33-3.48, 2 Nd 3.69
Nd (0.0000, 0.0000, 0.5000) (multiplicity 2)  6 Pb 3.34-3.48, 2 Pm 3.69
Nd (0.1663, 0.5000, 0.4930) (multiplicity 4)  5 Pb 3.26-3.45, 1 Nd 3.58
Nd (0.1667, 0.5000, 0.0078) (multiplicity 4)  5 Pb 3.25-3.45, 1 Nd 3.58
Pb (0.0089, 0.5000, 0.7515) (multiplicity 4)  6 Nd 3.25-3.45, 2 Pm 3.33
Pb (0.1755, 0.0000, 0.2498) (multiplicity 4)  7 Nd 3.26-3.48, 1 Pm 3.48

Summary:
Its total DFT energy (no corrections) is -4.733 eV per atom.